(1)
The following is a PBE calculation of a relaxed YCo2W crystal, from the Alexandria database.

E_form = 0.51 eV/atom
Relative energy among the computed polymorphs = 0.491 eV/atom
Energy = -7.89 eV per atom
Volume = 17.5 A^3/atom

Cell: 5.7082 5.7082 5.7082 Å, 104.92 104.92 119.02°
Last column: nearest neighbours and their distance in Å.
Sites, in units of the cell vectors:
Y: 0.0000 0.0000 0.0000  8 Co 2.82-3.11, 2 W 2.90
Y: 0.7500 0.2500 0.5000  8 Co 2.82-3.11, 2 W 2.90
Co: 0.1762 0.1250 0.5512  2 W 2.34
Co: 0.3750 0.8238 0.9488  2 W 2.34
Co: 0.5738 0.6250 0.4488  2 W 2.34
Co: 0.8750 0.4262 0.0512  2 W 2.34
W: 0.2500 0.7500 0.5000  4 Co 2.34
W: 0.5000 0.5000 0.0000  4 Co 2.34



(2)
The following is a PBE calculation of a relaxed YCo2W crystal, from the Alexandria database.

E_form = 0.48 eV/atom
Relative energy among the computed polymorphs = 0.457 eV/atom
Energy = -7.93 eV per atom
Volume = 15.9 A^3/atom

Cell: 4.5179 2.8417 4.9625 Å, 90.00 91.09 90.00°
Last column: nearest neighbours and their distance in Å.
Sites, in units of the cell vectors:
Y: 0.0000 0.0000 0.0000  6 Co 2.48-2.67
Co: 0.0000 0.0000 0.5000  2 Y 2.48, 4 W 2.67
Co: 0.5000 0.5000 0.0000  2 W 2.48, 4 Y 2.67
W: 0.5000 0.5000 0.5000  6 Co 2.48-2.67



(3)
The following is a PBE calculation of a relaxed Zn2CoW crystal, from the Alexandria database.

E_form = 0.35 eV/atom
Relative energy among the computed polymorphs = 0.306 eV/atom
Energy = -5.30 eV per atom
Volume = 13.8 A^3/atom

Cell: 4.7845 4.7845 4.7845 Å, 134.35 134.35 66.54°
Last column: nearest neighbours and their distance in Å.
Sites, in units of the cell vectors:
Zn: 0.2500 0.7500 0.5000  4 Zn 2.62, 4 W 2.73, 4 Co 2.73
Zn: 0.7500 0.2500 0.5000  4 Zn 2.62, 4 W 2.73, 4 Co 2.73
Co: 0.0000 0.0000 0.0000  4 W 2.62, 8 Zn 2.73
W: 0.5000 0.5000 0.0000  4 Co 2.62, 8 Zn 2.73



(4)
The following is a PBE calculation of a relaxed Zn2CoW crystal, from the Alexandria database.

E_form = 0.39 eV/atom
Relative energy among the computed polymorphs = 0.346 eV/atom
Energy = -5.26 eV per atom
Volume = 14.0 A^3/atom

Cell: 4.5811 4.5811 2.6663 Å, 90.00 90.00 90.00°
Last column: nearest neighbours and their distance in Å.
Sites, in units of the cell vectors:
Zn: 0.0000 0.5000 0.0000  4 W 2.65, 4 Co 2.65, 2 Zn 2.67
Zn: 0.5000 0.0000 0.0000  4 W 2.65, 4 Co 2.65, 2 Zn 2.67
Co: 0.0000 0.0000 0.5000  8 Zn 2.65, 2 Co 2.67
W: 0.5000 0.5000 0.5000  8 Zn 2.65, 2 W 2.67



(5)
The following is a PBE calculation of a relaxed Zn2CoW crystal, from the Alexandria database.

E_form = 0.25 eV/atom
Relative energy among the computed polymorphs = 0.208 eV/atom
Energy = -5.40 eV per atom
Volume = 13.5 A^3/atom

Cell: 4.4451 4.4451 4.4451 Å, 127.31 127.31 77.75°
Last column: nearest neighbours and their distance in Å.
Sites, in units of the cell vectors:
Zn: 0.0000 0.0000 0.0000  4 Co 2.62, 4 Zn 2.62, 4 W 2.79
Zn: 0.7500 0.2500 0.5000  4 W 2.62, 4 Zn 2.62, 4 Co 2.79
Co: 0.2500 0.7500 0.5000  4 W 2.62, 8 Zn 2.62-2.79
W: 0.5000 0.5000 0.0000  4 Co 2.62, 8 Zn 2.62-2.79



(6)
The following is a PBE calculation of a relaxed Zn2CoW crystal, from the Alexandria database.

E_form = 0.22 eV/atom
Relative energy among the computed polymorphs = 0.178 eV/atom
Energy = -5.43 eV per atom
Volume = 13.6 A^3/atom

Cell: 2.6546 4.2855 4.8689 Å, 90.00 100.26 90.00°
Last column: nearest neighbours and their distance in Å.
Sites, in units of the cell vectors:
Zn: 0.1673 0.0000 0.2628  2 Co 2.51, 5 Zn 2.55-2.65, 2 W 2.72
Zn: 0.8327 0.0000 0.7372  2 Co 2.51, 5 Zn 2.55-2.65, 2 W 2.72
Co: 0.0000 0.5000 0.5000  4 Zn 2.51, 2 W 2.56, 2 Co 2.65
W: 0.5000 0.5000 0.0000  2 Co 2.56, 2 W 2.65, 4 Zn 2.72



(7)
The following is a PBE calculation of a relaxed ZnCoW3 crystal, from the Alexandria database.

E_form = 1.42 eV/atom
Relative energy among the computed polymorphs = 0.000 eV/atom
Energy = -8.03 eV per atom
Volume = 17.7 A^3/atom

Cell: 4.4583 4.4583 4.4583 Å, 90.00 90.00 90.00°
Last column: nearest neighbours and their distance in Å.
Sites, in units of the cell vectors:
Zn: 0.0000 0.0000 0.0000  12 W 3.15
Co: 0.5000 0.5000 0.5000  6 W 2.23
W: 0.0000 0.5000 0.5000  2 Co 2.23
W: 0.5000 0.0000 0.5000  2 Co 2.23
W: 0.5000 0.5000 0.0000  2 Co 2.23



(8)
The following is a PBE calculation of a relaxed Zn2CoW crystal, from the Alexandria database.

E_form = 0.26 eV/atom
Relative energy among the computed polymorphs = 0.219 eV/atom
Energy = -5.39 eV per atom
Volume = 14.1 A^3/atom

Cell: 4.8901 4.8901 2.5859 Å, 90.00 90.00 114.61°
Last column: nearest neighbours and their distance in Å.
Sites, in units of the cell vectors:
Zn: 0.0000 0.5000 0.0000  4 Zn 2.59-2.64, 4 W 2.77, 4 Co 2.77
Zn: 0.5000 0.0000 0.0000  4 Zn 2.59-2.64, 4 W 2.77, 4 Co 2.77
Co: 0.0000 0.0000 0.5000  2 Co 2.59, 2 W 2.64, 8 Zn 2.77
W: 0.5000 0.5000 0.5000  2 W 2.59, 2 Co 2.64, 8 Zn 2.77



(9)
The following is a PBE calculation of a relaxed Zn2CoW crystal, from the Alexandria database.

E_form = 0.20 eV/atom
Relative energy among the computed polymorphs = 0.153 eV/atom
Energy = -5.45 eV per atom
Volume = 13.8 A^3/atom

Cell: 4.4958 4.4958 4.8210 Å, 98.29 98.29 34.88°
Last column: nearest neighbours and their distance in Å.
Sites, in units of the cell vectors:
Zn: 0.0000 0.0000 0.0000  5 Zn 2.48-2.69, 2 Co 2.68, 2 W 2.71
Zn: 0.2466 0.2466 0.7891  5 Zn 2.48-2.69, 1 W 2.72, 2 Co 2.73
Co: 0.7396 0.7396 0.2952  3 W 2.46-2.57, 4 Zn 2.68-2.73, 2 Co 2.69
W: 0.4888 0.4888 0.4842  3 Co 2.46-2.57, 2 W 2.69, 3 Zn 2.71-2.72



(10)
The following is a PBE calculation of a relaxed Zn2CoW crystal, from the Alexandria database.

E_form = 0.21 eV/atom
Relative energy among the computed polymorphs = 0.166 eV/atom
Energy = -5.44 eV per atom
Volume = 13.7 A^3/atom

Cell: 5.2356 5.2356 4.4904 Å, 115.20 115.20 29.66°
Last column: nearest neighbours and their distance in Å.
Sites, in units of the cell vectors:
Zn: 0.2307 0.2307 0.2309  2 Co 2.49, 6 Zn 2.64-2.68
Zn: 0.7693 0.7693 0.7691  2 Co 2.49, 6 Zn 2.64-2.68
Co: 0.5000 0.5000 0.0000  4 Zn 2.49, 4 W 2.61, 2 Co 2.68
W: 0.0000 0.0000 0.5000  4 Co 2.61, 2 W 2.68, 4 Zn 2.79



(11)
The following is a PBE calculation of a relaxed Zn2CoW crystal, from the Alexandria database.

E_form = 0.15 eV/atom
Relative energy among the computed polymorphs = 0.103 eV/atom
Energy = -5.50 eV per atom
Volume = 13.7 A^3/atom

Cell: 2.6600 4.0036 5.3089 Å, 90.00 104.39 90.00°
Last column: nearest neighbours and their distance in Å.
Sites, in units of the cell vectors:
Zn: 0.0000 0.0000 0.0000  2 Co 2.50, 6 Zn 2.63-2.66, 3 W 2.70-2.78
Zn: 0.3930 0.5000 0.7893  1 Co 2.57, 6 Zn 2.63-2.66
Co: 0.1433 0.5000 0.2896  3 Zn 2.50-2.57, 4 W 2.59, 2 Co 2.66
W: 0.7358 0.0000 0.4758  4 Co 2.59, 2 W 2.66, 7 Zn 2.70-2.90



(12)
The following is a PBE calculation of a relaxed Zn4CoW crystal, from the Alexandria database.

E_form = 0.35 eV/atom
Energy = -3.84 eV per atom
Volume = 13.8 A^3/atom

Cell: 4.8912 4.8912 4.8912 Å, 60.00 60.00 60.00°
Last column: nearest neighbours and their distance in Å.
Sites, in units of the cell vectors:
Zn: 0.1252 0.1252 0.1252  6 Zn 2.44-2.45
Zn: 0.1252 0.1252 0.6244  6 Zn 2.44-2.45
Zn: 0.1252 0.6244 0.1252  6 Zn 2.44-2.45
Zn: 0.6244 0.1252 0.1252  6 Zn 2.44-2.45
Co: 0.7500 0.7500 0.7500  12 Zn 2.87, 4 W 3.00
W: 0.5000 0.5000 0.5000  12 Zn 2.87, 4 Co 3.00



(13)
The following is a PBE calculation of a relaxed Zn2CoW crystal, from the Alexandria database.

E_form = 0.29 eV/atom
Relative energy among the computed polymorphs = 0.243 eV/atom
Energy = -5.36 eV per atom
Volume = 13.7 A^3/atom

Cell: 2.6491 3.8730 5.3590 Å, 90.00 90.00 90.00°
Last column: nearest neighbours and their distance in Å.
Sites, in units of the cell vectors:
Zn: 0.0000 0.0000 0.2329  3 Zn 2.50-2.65, 4 Co 2.66, 4 W 2.75
Zn: 0.0000 0.0000 0.7671  3 Zn 2.50-2.65, 4 Co 2.66, 4 W 2.75
Co: 0.5000 0.5000 0.0000  2 Co 2.65, 8 Zn 2.66, 2 W 2.68
W: 0.5000 0.5000 0.5000  2 W 2.65, 2 Co 2.68, 8 Zn 2.75



(14)
The following is a PBE calculation of a relaxed ZnCo6W crystal, from the Alexandria database.

E_form = 0.02 eV/atom
Energy = -7.09 eV per atom
Volume = 11.6 A^3/atom

Cell: 6.2250 6.2250 10.1730 Å, 90.00 90.00 109.58°
Last column: nearest neighbours and their distance in Å.
Sites, in units of the cell vectors:
Zn: 0.0000 0.0000 0.2494  12 Co 2.54-2.55
Zn: 0.0000 0.0000 0.7506  12 Co 2.54-2.55
Zn: 0.2523 0.7477 0.5000  12 Co 2.52-2.57
Zn: 0.7477 0.2523 0.5000  12 Co 2.52-2.57
Co: 0.0000 0.0000 0.0000  8 Co 2.54, 2 Zn 2.54, 2 W 2.59
Co: 0.0000 0.0000 0.5000  8 Co 2.53, 4 Zn 2.55-2.57
Co: 0.1225 0.3736 0.3754  8 Co 2.53-2.55, 3 Zn 2.53-2.54, 1 W 2.55
Co: 0.1225 0.3736 0.6246  8 Co 2.53-2.55, 3 Zn 2.53-2.54, 1 W 2.55
Co: 0.1252 0.3748 0.1244  3 W 2.52-2.56, 8 Co 2.53-2.55, 1 Zn 2.54
Co: 0.1252 0.3748 0.8756  3 W 2.52-2.56, 8 Co 2.53-2.55, 1 Zn 2.54
Co: 0.2503 0.7497 0.2495  8 Co 2.53-2.55, 2 W 2.54, 2 Zn 2.55
Co: 0.2503 0.7497 0.7505  8 Co 2.53-2.55, 2 W 2.54, 2 Zn 2.55
Co: 0.3736 0.1225 0.3754  8 Co 2.53-2.55, 3 Zn 2.53-2.54, 1 W 2.55
Co: 0.3736 0.1225 0.6246  8 Co 2.53-2.55, 3 Zn 2.53-2.54, 1 W 2.55
Co: 0.3748 0.1252 0.1244  3 W 2.52-2.56, 8 Co 2.53-2.55, 1 Zn 2.54
Co: 0.3748 0.1252 0.8756  3 W 2.52-2.56, 8 Co 2.53-2.55, 1 Zn 2.54
Co: 0.5000 0.5000 0.0000  4 W 2.50-2.56, 8 Co 2.54
Co: 0.5000 0.5000 0.5000  2 Zn 2.52, 2 W 2.53, 8 Co 2.55
Co: 0.6252 0.8748 0.1244  3 W 2.52-2.56, 8 Co 2.53-2.55, 1 Zn 2.54
Co: 0.6252 0.8748 0.8756  3 W 2.52-2.56, 8 Co 2.53-2.55, 1 Zn 2.54
Co: 0.6264 0.8775 0.3754  8 Co 2.53-2.55, 3 Zn 2.53-2.54, 1 W 2.55
Co: 0.6264 0.8775 0.6246  8 Co 2.53-2.55, 3 Zn 2.53-2.54, 1 W 2.55
Co: 0.7497 0.2503 0.2495  8 Co 2.53-2.55, 2 W 2.54, 2 Zn 2.55
Co: 0.7497 0.2503 0.7505  8 Co 2.53-2.55, 2 W 2.54, 2 Zn 2.55
Co: 0.8748 0.6252 0.1244  3 W 2.52-2.56, 8 Co 2.53-2.55, 1 Zn 2.54
Co: 0.8748 0.6252 0.8756  3 W 2.52-2.56, 8 Co 2.53-2.55, 1 Zn 2.54
Co: 0.8775 0.6264 0.3754  8 Co 2.53-2.55, 3 Zn 2.53-2.54, 1 W 2.55
Co: 0.8775 0.6264 0.6246  8 Co 2.53-2.55, 3 Zn 2.53-2.54, 1 W 2.55
W: 0.2546 0.7454 0.0000  12 Co 2.50-2.59
W: 0.5000 0.5000 0.2515  12 Co 2.53-2.56
W: 0.5000 0.5000 0.7485  12 Co 2.53-2.56
W: 0.7454 0.2546 0.0000  12 Co 2.50-2.59



(15)
The following is a PBE calculation of a relaxed Zn2CoW crystal, from the Alexandria database.

E_form = 0.17 eV/atom
Relative energy among the computed polymorphs = 0.122 eV/atom
Energy = -5.49 eV per atom
Volume = 14.2 A^3/atom

Cell: 8.9771 8.9771 8.9771 Å, 17.48 17.48 17.48°
Last column: nearest neighbours and their distance in Å.
Sites, in units of the cell vectors:
Zn: 0.0000 0.0000 0.0000  9 Zn 2.73-2.89, 3 W 2.84
Zn: 0.2418 0.2418 0.2418  3 Co 2.58, 6 Zn 2.73
Co: 0.4979 0.4979 0.4979  3 W 2.55, 3 Zn 2.58, 6 Co 2.73
W: 0.7558 0.7558 0.7558  3 Co 2.55, 6 W 2.73, 3 Zn 2.84



(16)
The following is a PBE calculation of a relaxed Zn2CoW crystal, from the Alexandria database.

E_form = 0.25 eV/atom
Relative energy among the computed polymorphs = 0.208 eV/atom
Energy = -5.40 eV per atom
Volume = 13.8 A^3/atom

Cell: 2.7624 4.4177 4.5076 Å, 90.00 90.00 90.00°
Last column: nearest neighbours and their distance in Å.
Sites, in units of the cell vectors:
Zn: 0.0000 0.0000 0.0000  6 Zn 2.61-2.76, 4 W 2.64
Zn: 0.5000 0.5000 0.0000  6 Zn 2.61-2.76, 4 Co 2.64
Co: 0.0000 0.5000 0.5000  4 W 2.61, 4 Zn 2.64, 2 Co 2.76
W: 0.5000 0.0000 0.5000  4 Co 2.61, 4 Zn 2.64, 2 W 2.76



(17)
The following is a PBE calculation of a relaxed ZnCoW4 crystal, from the Alexandria database.

E_form = 0.77 eV/atom
Energy = -9.26 eV per atom
Volume = 16.8 A^3/atom

Cell: 5.2217 5.2217 5.2217 Å, 60.00 60.00 60.00°
Last column: nearest neighbours and their distance in Å.
Sites, in units of the cell vectors:
Zn: 0.0000 0.0000 0.0000  12 W 3.06, 4 Co 3.20
Co: 0.7500 0.7500 0.7500  12 W 3.06, 4 Zn 3.20
W: 0.3745 0.3745 0.3745  6 W 2.60-2.62
W: 0.3745 0.3745 0.8765  6 W 2.60-2.62
W: 0.3745 0.8765 0.3745  6 W 2.60-2.62
W: 0.8765 0.3745 0.3745  6 W 2.60-2.62



(18)
The following is a PBE calculation of a relaxed Zn2CoW2 crystal, from the Alexandria database.

E_form = 0.55 eV/atom
Relative energy among the computed polymorphs = 0.000 eV/atom
Energy = -6.56 eV per atom
Volume = 14.2 A^3/atom

Cell: 6.0943 6.0943 3.8293 Å, 90.00 90.00 90.00°
Last column: nearest neighbours and their distance in Å.
Sites, in units of the cell vectors:
Zn: 0.1380 0.3620 0.0000  2 Co 2.36, 1 Zn 2.38, 2 W 2.56
Zn: 0.3620 0.8620 0.0000  2 Co 2.36, 1 Zn 2.38, 2 W 2.56
Zn: 0.6380 0.1380 0.0000  2 Co 2.36, 1 Zn 2.38, 2 W 2.56
Zn: 0.8620 0.6380 0.0000  2 Co 2.36, 1 Zn 2.38, 2 W 2.56
Co: 0.0000 0.0000 0.0000  4 Zn 2.36
Co: 0.5000 0.5000 0.0000  4 Zn 2.36
W: 0.1654 0.6654 0.5000  6 Zn 2.56-2.67, 1 W 2.85
W: 0.3346 0.1654 0.5000  6 Zn 2.56-2.67, 1 W 2.85
W: 0.6654 0.8346 0.5000  6 Zn 2.56-2.67, 1 W 2.85
W: 0.8346 0.3346 0.5000  6 Zn 2.56-2.67, 1 W 2.85



(19)
The following is a PBE calculation of a relaxed Zn2CoW crystal, from the Alexandria database.

E_form = 0.20 eV/atom
Relative energy among the computed polymorphs = 0.154 eV/atom
Energy = -5.45 eV per atom
Volume = 13.7 A^3/atom

Cell: 2.6783 2.6783 7.6504 Å, 90.00 90.00 90.00°
Last column: nearest neighbours and their distance in Å.
Sites, in units of the cell vectors:
Zn: 0.0000 0.0000 0.2265  4 Co 2.57, 4 Zn 2.68, 4 W 2.82
Zn: 0.0000 0.0000 0.7735  4 Co 2.57, 4 Zn 2.68, 4 W 2.82
Co: 0.5000 0.5000 0.0000  8 Zn 2.57, 4 Co 2.68
W: 0.5000 0.5000 0.5000  4 W 2.68, 8 Zn 2.82



(20)
The following is a PBE calculation of a relaxed Zn2CoW crystal, from the Alexandria database.

E_form = 0.04 eV/atom
Relative energy among the computed polymorphs = 0.000 eV/atom
Energy = -5.61 eV per atom
Volume = 13.7 A^3/atom

Cell: 2.7775 2.7775 7.0858 Å, 90.00 90.00 90.00°
Last column: nearest neighbours and their distance in Å.
Sites, in units of the cell vectors:
Zn: 0.0000 0.0000 0.0000  8 Zn 2.72-2.78, 4 W 2.78
Zn: 0.5000 0.5000 0.2652  4 Co 2.53, 8 Zn 2.72-2.78
Co: 0.0000 0.0000 0.4900  4 Zn 2.53, 4 W 2.56, 4 Co 2.78
W: 0.5000 0.5000 0.7216  4 Co 2.56, 4 W 2.78, 4 Zn 2.78



no.,theoretical density (g cm⁻³)
1,9.26
2,10.18
3,11.25
4,11.09
5,11.52
6,11.38
7,12.66
8,11.03
9,11.26
10,11.34
11,11.33
12,10.12
13,11.28
14,10.78
15,10.89
16,11.28
17,14.18
18,13.02
19,11.30
20,11.35